Record 1
HfVBr: optimized geometry, PBE. Values from VASP.

The structure in Quantum ESPRESSO input format:
```
&SYSTEM
  ibrav = 0, nat = 6, ntyp = 3
/
ATOMIC_SPECIES
V 50.94 V.upf
Hf 178.49 Hf.upf
Br 79.90 Br.upf
CELL_PARAMETERS angstrom
-0.7911 0.1365 -3.5245
3.9335 -1.5982 -0.9448
-5.6247 -7.7202 0.9640
ATOMIC_POSITIONS angstrom
V -1.5209 -5.3867 -0.7938
V -0.9614 -3.7952 -2.7116
Hf 1.5239 -4.4124 -1.4396
Hf -4.0062 -4.7695 -2.0657
Br -2.6802 -7.3055 -2.4618
Br 0.1979 -1.8764 -1.0436
```

Summary:
Calculated density = 7041 kg/m³
Energy relative to the elements, uncorrected = -256 meV per atom

=====

Record 2
NbSiAs2Se: optimized geometry, PBE. Values from VASP.

The structure in Quantum ESPRESSO input format:
```
&SYSTEM
  ibrav = 0, nat = 5, ntyp = 4
/
ATOMIC_SPECIES
Nb 92.91 Nb.upf
Si 28.09 Si.upf
As 74.92 As.upf
Se 78.96 Se.upf
CELL_PARAMETERS angstrom
-2.3949 -3.6920 2.4852
0.8997 -3.1655 -3.8357
4.2468 -1.3399 2.1019
ATOMIC_POSITIONS angstrom
Nb 0.0000 0.0000 0.0000
Si 1.3758 -4.0987 0.3757
As 0.4498 -1.5827 -1.9178
As -1.1974 -1.8460 1.2426
Se 2.1234 -0.6700 1.0510
```

Summary:
Calculated density = 4618 kg/m³
Energy above the lowest structure with this stoichiometry = 0.0 meV/atom
Energy relative to the elements, uncorrected = 553 meV per atom

=====

Record 3
BSbAsSe2: optimized geometry, PBE. Values from VASP.

The structure in Quantum ESPRESSO input format:
```
&SYSTEM
  ibrav = 0, nat = 5, ntyp = 4
/
ATOMIC_SPECIES
Sb 121.76 Sb.upf
As 74.92 As.upf
B 10.81 B.upf
Se 78.96 Se.upf
CELL_PARAMETERS angstrom
-3.0157 4.3460 -0.7706
-2.5792 -0.9779 4.5791
3.5596 2.9367 2.6321
ATOMIC_POSITIONS angstrom
Sb 0.0000 0.0000 0.0000
As 1.7798 1.4684 1.3161
B -1.0177 3.1525 3.2203
Se -1.2896 -0.4889 2.2895
Se -1.5079 2.1730 -0.3853
```

Summary:
Calculated density = 3997 kg/m³
Energy above the lowest structure with this stoichiometry = 933.4 meV/atom
Energy relative to the elements, uncorrected = 1510 meV per atom

=====

Record 4
Ac2Al2In: optimized geometry, PBE. Values from VASP.

The structure in Quantum ESPRESSO input format:
```
&SYSTEM
  ibrav = 0, nat = 10, ntyp = 3
/
ATOMIC_SPECIES
Ac 227.00 Ac.upf
Al 26.98 Al.upf
In 114.82 In.upf
CELL_PARAMETERS angstrom
4.7922 0.0000 0.0000
-2.3961 5.4993 -2.6725
0.0000 -1.2845 12.3006
ATOMIC_POSITIONS angstrom
Ac 2.3961 2.0293 0.0486
Ac 0.0000 4.0750 5.7178
Ac 0.0000 2.1855 9.5796
Ac 2.3961 0.1398 3.9104
Al 0.0000 -1.1188 10.9362
Al 2.3961 3.6054 3.1957
Al 2.3961 5.3336 -1.3081
Al 0.0000 0.6094 6.4325
In 0.0000 2.3577 2.5737
In 2.3961 1.8571 7.0545
```

Summary:
Calculated density = 6721 kg/m³
Energy above the lowest structure with this stoichiometry = 0.0 meV/atom

=====

Record 5
TcNiIr: optimized geometry, PBE. Values from VASP.

The structure in Quantum ESPRESSO input format:
```
&SYSTEM
  ibrav = 0, nat = 3, ntyp = 3
/
ATOMIC_SPECIES
Ni 58.69 Ni.upf
Ir 192.22 Ir.upf
Tc 98.00 Tc.upf
CELL_PARAMETERS angstrom
4.5837 0.0066 -0.0074
2.2589 3.9885 0.0074
-3.0582 -2.6195 2.1901
ATOMIC_POSITIONS angstrom
Ni 2.2709 1.3259 0.0000
Ir 0.0045 0.0026 0.0000
Tc 4.5658 2.6658 0.0000
```

Summary:
Calculated density = 14467 kg/m³
Energy above the lowest structure with this stoichiometry = 0.0 meV/atom

=====

Record 6
TiBi2Pd: optimized geometry, PBE. Values from VASP.

The structure in Quantum ESPRESSO input format:
```
&SYSTEM
  ibrav = 0, nat = 4, ntyp = 3
/
ATOMIC_SPECIES
Bi 208.98 Bi.upf
Pd 106.42 Pd.upf
Ti 47.87 Ti.upf
CELL_PARAMETERS angstrom
-0.7394 0.2354 -3.5468
-2.2700 -4.3154 0.1868
-4.2036 2.2556 1.0260
ATOMIC_POSITIONS angstrom
Bi -2.1018 1.1278 0.5130
Bi -1.1350 -2.1577 0.0934
Pd -0.3697 0.1177 -1.7734
Ti -3.6065 -0.9122 -1.1670
```

Summary:
Calculated density = 10992 kg/m³
VASP energy = -21.4 eV per cell

=====

Record 7
Ba2NaHI: optimized geometry, PBE. Values from VASP.

The structure in Quantum ESPRESSO input format:
```
&SYSTEM
  ibrav = 0, nat = 5, ntyp = 4
/
ATOMIC_SPECIES
I 126.90 I.upf
Na 22.99 Na.upf
Ba 137.33 Ba.upf
H 1.01 H.upf
CELL_PARAMETERS angstrom
-4.0752 3.9634 -3.6837
-2.9425 -0.2349 3.0026
2.6208 5.4804 2.9970
ATOMIC_POSITIONS angstrom
I -2.1985 4.6044 1.1580
Na 0.0000 0.0000 0.0000
Ba 1.3104 2.7402 1.4985
Ba -2.0376 1.9817 -1.8418
H -1.4713 -0.1174 1.5013
```

Summary:
Calculated density = 3657 kg/m³
VASP energy = -10.7 eV per cell

=====

Record 8
Nd4Bi6O19: optimized geometry, PBE. Values from VASP.

The structure in Quantum ESPRESSO input format:
```
&SYSTEM
  ibrav = 0, nat = 29, ntyp = 3
/
ATOMIC_SPECIES
Nd 144.24 Nd.upf
Bi 208.98 Bi.upf
O 16.00 O.upf
CELL_PARAMETERS angstrom
8.0407 0.0000 -2.8428
-4.0204 6.9635 -2.8428
0.0000 0.0000 8.5285
ATOMIC_POSITIONS angstrom
Nd 0.0000 0.0000 6.0606
Nd -2.8570 4.9484 -2.0202
Nd 1.1634 2.0150 0.8226
Nd 5.7139 0.0000 -2.0202
Bi 0.6211 3.4817 4.7034
Bi 3.3992 3.4817 -1.8606
Bi -1.3157 4.6847 1.8606
Bi 5.3360 2.2788 0.9822
Bi 0.6945 5.7605 -0.9822
Bi 3.3258 1.2030 3.8250
O 5.1904 0.0000 3.6702
O 2.8503 0.0000 2.0155
O 1.4252 2.4685 -2.0155
O 2.5952 4.4950 -3.6702
O -2.5952 4.4950 3.6702
O -1.4252 2.4685 2.0155
O 0.0000 0.0000 0.0000
O 1.4676 2.1835 3.1218
O 4.3300 1.7016 5.7360
O 2.8310 5.2619 -0.6725
O 5.1775 4.6007 -2.5638
O -0.5879 4.7799 -2.4997
O 3.3290 2.3628 0.0504
O -0.8789 1.8809 5.0132
O 0.4131 5.0826 3.1859
O 5.4159 0.1792 0.2790
O -1.9520 6.7842 2.1703
O 0.1748 4.0644 0.3431
O 4.4021 2.8991 2.8932
```

Summary:
Calculated density = 7424 kg/m³
Energy relative to the elements, uncorrected = -1656 meV per atom

=====

| no. | DOS(E_F) (states/eV/f.u.) |
| --- | --- |
| 1 | 3.32 |
| 2 | 3.77 |
| 3 | 4.32 |
| 4 | 3.16 |
| 5 | 2.43 |
| 6 | 2.60 |
| 7 | 4.71 |
| 8 | 15.30 |